(1)
68
Lattice="-5.367 -2.048 -0.677 2.082 -1.833 -10.961 2.134 -8.102 7.591" Properties=species:S:1:pos:R:3 comment="Na3YH12C3O15 (SCAN, single point on PBEsol structure)" energy_ev_per_atom=-7.63 pbc="T T T"
Na -0.198 -4.301 -1.363
Na 1.700 -9.851 0.380
Na -0.346 -5.868 4.550
Na -1.732 -7.979 -2.782
Na -1.583 -6.412 -8.695
Na -3.630 -2.429 -4.524
Y -1.028 -7.212 1.011
Y 1.638 -4.098 -4.835
H 0.588 -8.401 3.193
H -1.170 -8.262 6.168
H -1.609 -10.681 -2.222
H 0.811 -7.499 -1.297
H -3.091 -4.915 -2.892
H -0.769 -4.320 1.604
H -1.512 -8.094 -5.793
H 1.445 -7.064 2.833
H 1.843 -7.140 -0.090
H 3.302 -8.764 -3.050
H -1.762 -2.149 -2.104
H -2.869 -4.013 -7.382
H -2.505 -2.475 -0.751
H -1.450 -4.482 -6.735
H -0.074 -0.447 -1.450
H 0.871 -10.793 -2.350
H -4.363 -4.079 -0.359
H 0.756 -4.713 1.188
H -0.761 -6.832 -5.090
H 0.992 -8.751 -3.968
H 1.967 -2.978 -9.969
H -1.848 -4.405 -3.812
H -3.084 -9.156 4.859
H -0.287 -3.673 -9.186
C -1.338 -9.844 -0.007
C -2.781 -5.821 -0.735
C -0.535 -2.415 -4.131
C -2.691 -7.393 3.304
C 0.817 -4.865 -7.441
C 0.908 -6.437 -3.402
O -3.626 -5.167 -1.451
O 0.920 -7.509 -0.275
O 0.381 -1.953 -4.910
O 1.447 -5.459 -2.761
O -0.206 -5.009 1.090
O -3.091 -6.178 0.486
O 1.928 -5.325 -6.980
O -1.670 -7.251 -5.228
O -0.476 -2.705 -9.360
O -1.539 -1.711 -3.741
O 0.126 -4.078 -6.655
O -2.797 -4.751 -3.863
O 0.385 -5.140 -8.621
O -1.516 -10.998 -0.546
O -1.970 -8.796 -0.474
O -2.091 -6.280 3.058
O -1.615 -2.435 -1.155
O -4.541 -3.448 0.399
O -2.502 -8.372 2.454
O -0.405 -3.654 -3.727
O -3.440 -7.569 4.335
O 0.522 -7.471 2.762
O 0.715 -6.272 -4.687
O -1.609 -6.146 -1.161
O -0.543 -9.652 0.989
O -2.399 -4.789 -6.900
O -1.484 -10.291 -3.137
O -2.622 -10.021 5.068
O 1.443 -9.278 -4.691
O 0.572 -7.542 -2.836

---

(2)
13
Lattice="-2.089 2.469 -2.407 -0.611 -5.513 -2.874 -3.025 0.549 5.438" Properties=species:S:1:pos:R:3 comment="NdH3C3O6 (SCAN, single point on PBEsol structure)" energy_ev_per_atom=-10.92 pbc="T T T"
H -1.901 -0.763 -3.239
H -3.067 2.164 0.775
H -2.478 -1.861 0.637
C -3.733 0.150 -1.193
C -1.428 -1.677 -2.817
C -2.731 1.594 1.670
Nd -0.283 0.335 -0.326
O -0.765 -1.587 -1.749
O -2.593 0.718 -1.276
O -3.400 1.760 2.744
O -3.959 -0.882 -0.506
O -1.730 0.835 1.572
O -1.598 -2.766 -3.462

---

(3)
20
Lattice="-4.002 -0.155 -2.278 3.600 -1.405 -6.228 -0.604 -8.957 1.672" Properties=species:S:1:pos:R:3 comment="RbHCO2 (SCAN, single point on PBEsol structure)" energy_ev_per_atom=-10.73 pbc="T T T"
C -1.598 -0.908 -2.875
C 0.592 -9.610 -3.959
C -0.969 -5.350 -1.509
C -0.038 -5.167 -5.325
H -1.411 -9.119 -0.915
H 0.405 -1.399 -5.920
H -1.662 -4.662 -2.066
H 0.656 -5.856 -4.769
O -1.419 -2.106 -2.502
O 0.413 -8.412 -4.333
O -1.310 -6.569 -1.432
O 0.304 -3.949 -5.403
O -3.188 -9.431 -1.871
O 2.182 -1.087 -4.963
O 0.081 -4.837 -1.018
O -1.088 -5.680 -5.816
Rb -0.407 -2.249 0.272
Rb -2.399 -7.566 -3.993
Rb -4.199 -6.863 -0.879
Rb 1.393 -2.952 -2.842